1.
UTaAgS6: optimized geometry, GGA-PBE.

Cell lengths 6.378, 6.378, 11.714 Å; angles 90.00, 90.00, 120.00 degrees
Sites, in units of the cell vectors:
1 U 0.333 0.667 0.250
2 U 0.667 0.333 0.750
3 Ta 0.333 0.667 0.750
4 Ta 0.667 0.333 0.250
5 Ag 0.000 0.000 0.000
6 Ag 0.000 0.000 0.500
7 S 0.011 0.364 0.628
8 S 0.011 0.647 0.872
9 S 0.353 0.364 0.872
10 S 0.353 0.989 0.628
11 S 0.364 0.011 0.128
12 S 0.364 0.353 0.372
13 S 0.636 0.647 0.628
14 S 0.636 0.989 0.872
15 S 0.647 0.011 0.372
16 S 0.647 0.636 0.128
17 S 0.989 0.353 0.128
18 S 0.989 0.636 0.372

Calculated values
As for the symmetry: P-31c. The calculation puts the size of the total moment at 0.00 μB per atom. The uncorrected energy comes out at -116.686 eV per cell.

2.
Cs3Hg4Bi: optimized geometry, GGA-PBE.

Cell lengths 10.007, 10.007, 10.007 Å; angles 145.41, 134.20, 58.64 degrees
Sites, in units of the cell vectors:
1 Cs 0.000 0.000 0.000
2 Cs 0.326 0.826 0.500
3 Cs 0.674 0.174 0.500
4 Hg 0.080 0.382 0.698
5 Hg 0.316 0.618 0.698
6 Hg 0.684 0.382 0.302
7 Hg 0.920 0.618 0.302
8 Bi 0.500 0.500 0.000

Calculated values
As for the symmetry: Immm. The calculation puts the size of the total moment at 0.00 μB per atom. The density of states at the Fermi level is 5.6 states/eV/cell. The uncorrected energy comes out at -9.437 eV per cell. The formation energy is -0.2235 eV/atom.

3.
YCuGe: optimized geometry, GGA-PBE.

Cell lengths 5.548, 5.548, 5.548 Å; angles 132.12, 98.47, 100.49 degrees
Sites, in units of the cell vectors:
1 Y 0.213 0.250 0.463
2 Y 0.787 0.750 0.537
3 Cu 0.223 0.551 0.173
4 Cu 0.378 0.051 0.827
5 Ge 0.614 0.959 0.154
6 Ge 0.805 0.459 0.846

Calculated values
As for the symmetry: Ima2. The calculation puts the size of the total moment at 0.00 μB per atom. The density of states at the Fermi level is 2.5 states/eV/cell. The uncorrected energy comes out at -33.134 eV per cell. The formation energy is -0.4632 eV/atom.